Below is a relaxed InH2Pb2 crystal, with properties calculated at the PBE level.

Calculated values
D(E_F) (states/eV per cell): 1.89
Polymorph energy (0 for the lowest one) (meV/atom): 26.8
E (eV/cell): -15.083

a b c (Å): 3.819 3.819 8.439
angles (deg): 91.04 91.04 57.01
Atoms (fractional coordinates):
In: 0.000 0.000 0.000
H: 0.343 0.343 0.587
H: 0.657 0.657 0.413
Pb: 0.339 0.339 0.308
Pb: 0.661 0.661 0.692